Below is AlAgH2Pd at its PBEsol-relaxed geometry, with properties calculated at the meta-GGA SCAN level.

Structure (POSCAR):
```
AlAgH2Pd
1.0
3.5053 0.0000 0.0000
0.0000 3.5053 0.0000
0.0000 0.0000 5.3371
Al Ag H Pd
1 1 2 1
Cartesian
0.0000 0.0000 0.0000 Al
1.7526 1.7526 0.0000 Ag
0.0000 1.7526 2.6685 H
1.7526 0.0000 2.6685 H
1.7526 1.7526 2.6685 Pd
```

Results
* final energy: -15.5246 eV/atom
* density: 6.16 Mg/m³
* volume: 13.12 Å³/atom
* space group: P4/mmm
* D(E_F): 1.27 states/eV/cell


Below is AlAgH2W at its PBEsol-relaxed geometry, with properties calculated at the meta-GGA SCAN level.

Structure (POSCAR):
```
AlAgH2W
1.0
3.6616 0.0000 0.0000
0.0000 3.6616 0.0000
0.0000 0.0000 5.2013
Al Ag H W
1 1 2 1
Cartesian
0.0000 0.0000 0.0000 Al
0.0000 0.0000 2.6006 Ag
0.0000 1.8308 0.0000 H
1.8308 0.0000 0.0000 H
1.8308 1.8308 2.6006 W
```

Results
* final energy: -21.8461 eV/atom
* density: 7.64 Mg/m³
* volume: 13.95 Å³/atom
* space group: P4/mmm
* D(E_F): 3.73 states/eV/cell


Below is Hf2Al3Ag at its PBEsol-relaxed geometry, with properties calculated at the meta-GGA SCAN level.

Structure (POSCAR):
```
Hf2Al3Ag
1.0
2.6467 1.5281 4.2270
-2.6467 1.5281 4.2270
0.0000 -3.0561 4.2270
Hf Al Ag
2 3 1
Cartesian
0.0000 0.0000 1.5687 Hf
0.0000 0.0000 11.1122 Hf
-1.3233 -0.7640 4.2270 Al
-1.3233 0.7640 8.4539 Al
0.0000 1.5281 4.2270 Al
0.0000 0.0000 6.3404 Ag
```

Results
* final energy: -30.4173 eV/atom
* density: 8.84 Mg/m³
* volume: 17.10 Å³/atom
* ΔE_f: -9.74 kcal/mol of atoms
* space group: R-3m
* D(E_F): 4.82 states/eV/cell


Below is HfAlAg2I at its PBEsol-relaxed geometry, with properties calculated at the meta-GGA SCAN level.

Structure (POSCAR):
```
HfAlAg2I
1.0
5.0974 0.0000 0.0000
0.0000 5.0974 0.0000
0.0000 0.0000 5.2706
Hf Al Ag I
1 1 2 1
Cartesian
0.0000 0.0000 0.0000 Hf
2.5487 2.5487 0.0000 Al
0.0000 2.5487 2.6353 Ag
2.5487 0.0000 2.6353 Ag
0.0000 0.0000 2.6353 I
```

Results
* final energy: -32.6572 eV/atom
* ΔE_f (raw): 1.32 eV/atom
* density: 6.65 Mg/m³
* volume: 27.39 Å³/atom
* space group: P4/mmm
* D(E_F): 2.96 states/eV/cell


Below is HfAlTc2Ag at its PBEsol-relaxed geometry, with properties calculated at the meta-GGA SCAN level.

Structure (POSCAR):
```
HfAlTc2Ag
1.0
4.7441 0.0000 0.0000
0.0000 4.7441 0.0000
0.0000 0.0000 4.7683
Hf Al Tc Ag
1 1 2 1
Cartesian
0.0000 0.0000 0.0000 Hf
2.3721 2.3721 0.0000 Al
0.0000 2.3721 2.3842 Tc
2.3721 0.0000 2.3842 Tc
0.0000 0.0000 2.3842 Ag
```

Results
* final energy: -32.5807 eV/atom
* density: 7.88 Mg/m³
* volume: 21.46 Å³/atom
* ΔE_f: 41.55 kcal/mol of atoms
* space group: P4/mmm
* D(E_F): 3.50 states/eV/cell


Below is Al2AgHg at its PBEsol-relaxed geometry, with properties calculated at the meta-GGA SCAN level.

Structure (POSCAR):
```
Al2AgHg
1.0
4.3661 -1.5702 0.0000
4.3661 1.5702 0.0000
-1.0453 0.0000 5.1770
Al Ag Hg
2 1 1
Cartesian
1.9052 0.0000 1.2001 Al
5.7817 0.0000 3.9769 Al
4.3661 0.0000 0.0000 Ag
-0.5227 0.0000 2.5885 Hg
```

Results
* final energy: -28.7770 eV/atom
* density: 8.48 Mg/m³
* volume: 17.75 Å³/atom
* ΔE_f: -0.41 kcal/mol of atoms
* space group: C2/m
* D(E_F): 1.24 states/eV/cell


Below is AlAgHg4 at its PBEsol-relaxed geometry, with properties calculated at the meta-GGA SCAN level.

Structure (POSCAR):
```
AlAgHg4
1.0
0.0000 4.0550 4.0550
4.0550 0.0000 4.0550
4.0550 4.0550 0.0000
Al Ag Hg
1 1 4
Cartesian
0.0000 0.0000 0.0000 Al
6.0825 6.0825 6.0825 Ag
3.0436 3.0436 3.0436 Hg
5.0664 5.0664 3.0436 Hg
5.0664 3.0436 5.0664 Hg
3.0436 5.0664 5.0664 Hg
```

Results
* final energy: -51.5602 eV/atom
* density: 11.67 Mg/m³
* volume: 22.23 Å³/atom
* ΔE_f: 9.31 kcal/mol of atoms
* space group: F-43m
* D(E_F): 1.96 states/eV/cell


Below is AlAg2Hg at its PBEsol-relaxed geometry, with properties calculated at the meta-GGA SCAN level.

Structure (POSCAR):
```
AlAg2Hg
1.0
2.9213 0.0000 0.0000
0.0000 2.9213 0.0000
0.0000 0.0000 8.1559
Al Ag Hg
1 2 1
Cartesian
0.0000 0.0000 0.0000 Al
1.4607 1.4607 1.8292 Ag
1.4607 1.4607 6.3268 Ag
0.0000 0.0000 4.0780 Hg
```

Results
* final energy: -34.6782 eV/atom
* density: 10.58 Mg/m³
* volume: 17.40 Å³/atom
* ΔE_f: -0.35 kcal/mol of atoms
* space group: P4/mmm
* D(E_F): 1.50 states/eV/cell


Below is AlAg2Hg at its PBEsol-relaxed geometry, with properties calculated at the meta-GGA SCAN level.

Structure (POSCAR):
```
AlAg2Hg
1.0
0.0000 3.2708 3.2708
3.2708 0.0000 3.2708
3.2708 3.2708 0.0000
Al Ag Hg
1 2 1
Cartesian
0.0000 0.0000 0.0000 Al
1.6354 1.6354 1.6354 Ag
4.9063 4.9063 4.9063 Ag
3.2708 3.2708 3.2708 Hg
```

Results
* final energy: -34.5911 eV/atom
* density: 10.52 Mg/m³
* volume: 17.50 Å³/atom
* ΔE_f: 1.66 kcal/mol of atoms
* space group: Fm-3m
* D(E_F): 0.84 states/eV/cell


Below is AlAgHg2 at its PBEsol-relaxed geometry, with properties calculated at the meta-GGA SCAN level.

Structure (POSCAR):
```
AlAgHg2
1.0
-2.0961 2.0961 4.3338
2.0961 -2.0961 4.3338
2.0961 2.0961 -4.3338
Al Ag Hg
1 1 2
Cartesian
0.0000 0.0000 0.0000 Al
2.0961 0.0000 2.1669 Ag
0.0000 0.0000 4.3338 Hg
0.0000 2.0961 2.1669 Hg
```

Results
* final energy: -43.7341 eV/atom
* density: 11.69 Mg/m³
* volume: 19.04 Å³/atom
* ΔE_f: 2.96 kcal/mol of atoms
* space group: I-4m2
* D(E_F): 1.35 states/eV/cell


Below is Al2AgHg at its PBEsol-relaxed geometry, with properties calculated at the meta-GGA SCAN level.

Structure (POSCAR):
```
Al2AgHg
1.0
1.4392 -2.6779 0.0000
1.4392 2.6779 0.0000
0.0000 0.0000 9.5380
Al Ag Hg
2 1 1
Cartesian
0.0000 0.0000 2.2829 Al
0.0000 0.0000 7.2551 Al
1.4392 0.0000 0.0000 Ag
1.4392 0.0000 4.7690 Hg
```

Results
* final energy: -28.6354 eV/atom
* density: 8.19 Mg/m³
* volume: 18.38 Å³/atom
* ΔE_f: 2.85 kcal/mol of atoms
* space group: Cmmm
* D(E_F): 1.61 states/eV/cell


Below is AlAgHg2 at its PBEsol-relaxed geometry, with properties calculated at the meta-GGA SCAN level.

Structure (POSCAR):
```
AlAgHg2
1.0
1.5683 0.9055 9.0150
-1.5683 0.9055 9.0150
0.0000 -1.8109 9.0150
Al Ag Hg
1 1 2
Cartesian
0.0000 0.0000 0.0000 Al
0.0000 0.0000 19.9921 Ag
0.0000 0.0000 6.7960 Hg
0.0000 0.0000 13.2828 Hg
```

Results
* final energy: -43.8201 eV/atom
* density: 11.59 Mg/m³
* volume: 19.20 Å³/atom
* ΔE_f: 0.98 kcal/mol of atoms
* space group: R3m
* D(E_F): 1.22 states/eV/cell


Q: The lowest D(E_F) belongs to which entry?
A: number 9